Entry 1:
First-principles (PBE) data for an optimized crystal structure of Be2Pd2Pt, as listed in the Alexandria database.

Calculated values
The value obtained for the calculated total energy is -5.0715 eV/atom. The density comes out at 11.0 g cm⁻³. The formation energy is -0.296 eV/atom. The spin magnetization is 0.00 μB per cell.

Cell: 6.895 6.895 2.713 Å, 90.00 90.00 90.00°
Space group P4/mbm (No. 127)
Asymmetric unit:
Be 0.164 0.336 0.000
Pd 0.136 0.636 0.500
Pt 0.000 0.000 0.500

***

Entry 2:
First-principles (PBE) data for an optimized crystal structure of KTl7Au2, as listed in the Alexandria database.

Calculated values
The value obtained for the calculated total energy is -2.3592 eV/atom. The density comes out at 8.6 g cm⁻³. The formation energy is 0.062 eV/atom. The spin magnetization is 0.00 μB per cell.

Cell: 8.831 15.517 5.261 Å, 90.00 90.00 90.00°
Space group Cmmm (No. 65)
Asymmetric unit:
K 0.000 0.000 0.000
Tl 0.000 0.236 0.000
Tl 0.000 0.500 0.500
Tl 0.191 0.134 0.500
Au 0.000 0.310 0.500